HfGa3Ni | Alexandria via LeMat-Bulk | PBE-GGA | relaxed; distance to the lowest polymorph of the same formula = 0.4110 eV/atom; V = 90.2 Å³/cell; energy of formation from the pure elements = 0.06 eV per atom
1.0
-3.338 -0.795 2.887
2.992 -0.708 3.264
-0.123 4.356 1.058
Ga Hf Ni
3 1 1
Direct
0.500 0.000 0.000
0.000 0.000 0.500
0.000 0.500 0.000
0.500 0.500 0.500
0.000 0.000 0.000

Hf2Ga2Ni | Alexandria via LeMat-Bulk | PBE-GGA | relaxed; distance to the lowest polymorph of the same formula = 0.2352 eV/atom; V = 183.8 Å³/cell; energy of formation from the pure elements = -0.27 eV per atom
1.0
-3.660 2.094 -3.339
-3.977 -4.337 1.640
1.939 4.404 4.969
Hf Ni Ga
4 2 4
Direct
0.610 0.934 0.219
0.390 0.066 0.781
0.890 0.715 0.781
0.110 0.285 0.219
0.250 0.500 0.000
0.750 0.500 0.000
0.359 0.569 0.718
0.641 0.431 0.282
0.141 0.851 0.282
0.859 0.149 0.718

HfGa2Ni | Alexandria via LeMat-Bulk | PBE-GGA | relaxed; V = 496.1 Å³/cell; energy of formation from the pure elements = -0.51 eV per atom
1.0
-5.064 0.533 1.090
0.722 -3.654 5.143
3.052 12.175 8.221
Ga Hf Ni
16 8 8
Direct
0.963 0.450 0.218
0.537 0.050 0.718
0.770 0.547 0.530
0.037 0.550 0.782
0.730 0.547 0.030
0.037 0.950 0.782
0.463 0.550 0.282
0.270 0.047 0.970
0.963 0.050 0.218
0.230 0.453 0.470
0.730 0.953 0.030
0.230 0.047 0.470
0.537 0.450 0.718
0.270 0.453 0.970
0.770 0.953 0.530
0.463 0.950 0.282
0.468 0.250 0.143
0.729 0.250 0.389
0.271 0.750 0.611
0.968 0.750 0.357
0.771 0.250 0.889
0.532 0.750 0.857
0.229 0.750 0.111
0.032 0.250 0.643
0.992 0.250 0.076
0.286 0.250 0.831
0.492 0.750 0.424
0.008 0.750 0.924
0.214 0.250 0.331
0.786 0.750 0.669
0.508 0.250 0.576
0.714 0.750 0.169